[1]
KBr2Cl | PBE | relaxed

## Properties
* M_tot: 0.6 μB/cell
* uncorrected formation energy: -0.68 eV/atom
* calculated total energy: -0.165 Ry/atom

```
data_KBr2Cl
_chemical_formula_sum 'K3 Br6 Cl3'
_space_group_name_H-M_alt 'P 1'
_space_group_IT_number 1
_cell_length_a 5.0198
_cell_length_b 5.0198
_cell_length_c 21.8360
_cell_angle_alpha 90.00
_cell_angle_beta 90.00
_cell_angle_gamma 120.00
loop_
_space_group_symop_operation_xyz
'x,y,z'
loop_
_atom_site_label
_atom_site_type_symbol
_atom_site_fract_x
_atom_site_fract_y
_atom_site_fract_z
_atom_site_occupancy
K1 K 0.0000 0.0000 0.0000 1
K2 K 0.3333 0.6667 0.6667 1
K3 K 0.6667 0.3333 0.3333 1
Br1 Br 0.0000 0.0000 0.4962 1
Br2 Br 0.0000 0.0000 0.8286 1
Br3 Br 0.3333 0.6667 0.1629 1
Br4 Br 0.3333 0.6667 0.4953 1
Br5 Br 0.6667 0.3333 0.1620 1
Br6 Br 0.6667 0.3333 0.8295 1
Cl1 Cl 0.0000 0.0000 0.3084 1
Cl2 Cl 0.3333 0.6667 0.9750 1
Cl3 Cl 0.6667 0.3333 0.6417 1
```

***

[2]
KBrCl2 | PBE | relaxed

## Properties
* M_tot: 3.8 μB/cell
* uncorrected formation energy: -0.62 eV/atom
* calculated total energy: -0.164 Ry/atom

```
data_KBrCl2
_chemical_formula_sum 'K2 Br2 Cl4'
_space_group_name_H-M_alt 'P 1'
_space_group_IT_number 1
_cell_length_a 7.4176
_cell_length_b 7.4373
_cell_length_c 3.9842
_cell_angle_alpha 90.00
_cell_angle_beta 90.00
_cell_angle_gamma 90.00
loop_
_space_group_symop_operation_xyz
'x,y,z'
loop_
_atom_site_label
_atom_site_type_symbol
_atom_site_fract_x
_atom_site_fract_y
_atom_site_fract_z
_atom_site_occupancy
K1 K 0.0000 0.0000 0.0000 1
K2 K 0.5000 0.5000 0.0000 1
Br1 Br 0.0000 0.5000 0.0000 1
Br2 Br 0.5000 0.0000 0.0000 1
Cl1 Cl 0.2500 0.2500 0.5000 1
Cl2 Cl 0.2500 0.7500 0.5000 1
Cl3 Cl 0.7500 0.2500 0.5000 1
Cl4 Cl 0.7500 0.7500 0.5000 1
```

***

[3]
KBrCl3 | PBE | relaxed

## Properties
* M_tot: 9.0 μB/cell
* uncorrected formation energy: -0.42 eV/atom
* calculated total energy: -0.153 Ry/atom

```
data_KBrCl3
_chemical_formula_sum 'K3 Br3 Cl9'
_space_group_name_H-M_alt 'P 1'
_space_group_IT_number 1
_cell_length_a 8.2663
_cell_length_b 8.2663
_cell_length_c 12.6798
_cell_angle_alpha 90.00
_cell_angle_beta 90.00
_cell_angle_gamma 120.00
loop_
_space_group_symop_operation_xyz
'x,y,z'
loop_
_atom_site_label
_atom_site_type_symbol
_atom_site_fract_x
_atom_site_fract_y
_atom_site_fract_z
_atom_site_occupancy
K1 K 0.0000 0.0000 0.0000 1
K2 K 0.3333 0.6667 0.6667 1
K3 K 0.6667 0.3333 0.3333 1
Br1 Br 0.0000 0.0000 0.7033 1
Br2 Br 0.3333 0.6667 0.3700 1
Br3 Br 0.6667 0.3333 0.0366 1
Cl1 Cl 0.0185 0.5092 0.4854 1
Cl2 Cl 0.1574 0.3149 0.8187 1
Cl3 Cl 0.1574 0.8426 0.8187 1
Cl4 Cl 0.3518 0.1759 0.1521 1
Cl5 Cl 0.4908 0.5092 0.4854 1
Cl6 Cl 0.4908 0.9815 0.4854 1
Cl7 Cl 0.6851 0.8426 0.8187 1
Cl8 Cl 0.8241 0.1759 0.1521 1
Cl9 Cl 0.8241 0.6482 0.1521 1
```

***

[4]
KBr2Cl | PBE | relaxed

## Properties
* M_tot: 0.0 μB/cell
* uncorrected formation energy: -0.50 eV/atom
* calculated total energy: -0.152 Ry/atom

```
data_KBr2Cl
_chemical_formula_sum 'K3 Br6 Cl3'
_space_group_name_H-M_alt 'P 1'
_space_group_IT_number 1
_cell_length_a 5.4845
_cell_length_b 5.4845
_cell_length_c 15.9955
_cell_angle_alpha 90.00
_cell_angle_beta 90.00
_cell_angle_gamma 120.00
loop_
_space_group_symop_operation_xyz
'x,y,z'
loop_
_atom_site_label
_atom_site_type_symbol
_atom_site_fract_x
_atom_site_fract_y
_atom_site_fract_z
_atom_site_occupancy
K1 K 0.0000 0.0000 0.0000 1
K2 K 0.3333 0.6667 0.6667 1
K3 K 0.6667 0.3333 0.3333 1
Br1 Br 0.0000 0.0000 0.1947 1
Br2 Br 0.0000 0.0000 0.8053 1
Br3 Br 0.3333 0.6667 0.4720 1
Br4 Br 0.3333 0.6667 0.8613 1
Br5 Br 0.6667 0.3333 0.1387 1
Br6 Br 0.6667 0.3333 0.5280 1
Cl1 Cl 0.0000 0.0000 0.5000 1
Cl2 Cl 0.3333 0.6667 0.1667 1
Cl3 Cl 0.6667 0.3333 0.8333 1
```

***

[5]
K6Br2Cl3 | PBE | relaxed

## Properties
* M_tot: 0.8 μB/cell
* uncorrected formation energy: -1.66 eV/atom
* calculated total energy: -0.225 Ry/atom

```
data_K6Br2Cl3
_chemical_formula_sum 'K6 Br2 Cl3'
_space_group_name_H-M_alt 'P 1'
_space_group_IT_number 1
_cell_length_a 7.9973
_cell_length_b 7.9973
_cell_length_c 8.0488
_cell_angle_alpha 99.56
_cell_angle_beta 99.56
_cell_angle_gamma 119.97
loop_
_space_group_symop_operation_xyz
'x,y,z'
loop_
_atom_site_label
_atom_site_type_symbol
_atom_site_fract_x
_atom_site_fract_y
_atom_site_fract_z
_atom_site_occupancy
K1 K 0.0873 0.4205 0.7618 1
K2 K 0.2459 0.2459 0.2376 1
K3 K 0.4205 0.0873 0.7618 1
K4 K 0.5795 0.9127 0.2382 1
K5 K 0.7541 0.7541 0.7624 1
K6 K 0.9127 0.5795 0.2382 1
Br1 Br 0.3333 0.6667 0.5000 1
Br2 Br 0.6667 0.3333 0.5000 1
Cl1 Cl 0.1668 0.8332 0.0000 1
Cl2 Cl 0.5000 0.5000 0.0000 1
Cl3 Cl 0.8332 0.1668 0.0000 1
```

***

[6]
KBrCl2 | PBE | relaxed

## Properties
* M_tot: 0.0 μB/cell
* uncorrected formation energy: -0.78 eV/atom
* calculated total energy: -0.176 Ry/atom

```
data_KBrCl2
_chemical_formula_sum 'K2 Br2 Cl4'
_space_group_name_H-M_alt 'P 1'
_space_group_IT_number 1
_cell_length_a 5.8537
_cell_length_b 8.0319
_cell_length_c 5.7975
_cell_angle_alpha 90.00
_cell_angle_beta 90.00
_cell_angle_gamma 90.00
loop_
_space_group_symop_operation_xyz
'x,y,z'
loop_
_atom_site_label
_atom_site_type_symbol
_atom_site_fract_x
_atom_site_fract_y
_atom_site_fract_z
_atom_site_occupancy
K1 K 0.0000 0.0000 0.0000 1
K2 K 0.5000 0.5000 0.0000 1
Br1 Br 0.0000 0.5000 0.4992 1
Br2 Br 0.5000 0.0000 0.4992 1
Cl1 Cl 0.0000 0.0000 0.4998 1
Cl2 Cl 0.0000 0.5000 0.9991 1
Cl3 Cl 0.5000 0.0000 0.9991 1
Cl4 Cl 0.5000 0.5000 0.4998 1
```

***

[7]
KBrCl2 | PBE | relaxed

## Properties
* M_tot: 2.3 μB/cell
* uncorrected formation energy: -0.67 eV/atom
* calculated total energy: -0.168 Ry/atom

```
data_KBrCl2
_chemical_formula_sum 'K2 Br2 Cl4'
_space_group_name_H-M_alt 'P 1'
_space_group_IT_number 1
_cell_length_a 4.6503
_cell_length_b 6.1169
_cell_length_c 8.3245
_cell_angle_alpha 90.00
_cell_angle_beta 90.00
_cell_angle_gamma 90.00
loop_
_space_group_symop_operation_xyz
'x,y,z'
loop_
_atom_site_label
_atom_site_type_symbol
_atom_site_fract_x
_atom_site_fract_y
_atom_site_fract_z
_atom_site_occupancy
K1 K 0.0000 0.0000 0.0000 1
K2 K 0.5000 0.5000 0.5000 1
Br1 Br 0.0000 0.0000 0.5000 1
Br2 Br 0.5000 0.5000 0.0000 1
Cl1 Cl 0.0000 0.5000 0.2066 1
Cl2 Cl 0.0000 0.5000 0.7934 1
Cl3 Cl 0.5000 0.0000 0.2934 1
Cl4 Cl 0.5000 0.0000 0.7066 1
```

***

[8]
KBrCl2 | PBE | relaxed

## Properties
* M_tot: 0.0 μB/cell
* uncorrected formation energy: -0.73 eV/atom
* calculated total energy: -0.172 Ry/atom

```
data_KBrCl2
_chemical_formula_sum 'K1 Br1 Cl2'
_space_group_name_H-M_alt 'P 1'
_space_group_IT_number 1
_cell_length_a 5.7093
_cell_length_b 4.4526
_cell_length_c 6.2577
_cell_angle_alpha 90.00
_cell_angle_beta 102.76
_cell_angle_gamma 90.00
loop_
_space_group_symop_operation_xyz
'x,y,z'
loop_
_atom_site_label
_atom_site_type_symbol
_atom_site_fract_x
_atom_site_fract_y
_atom_site_fract_z
_atom_site_occupancy
K1 K 0.0000 0.0000 0.0000 1
Br1 Br 0.0000 0.0000 0.5000 1
Cl1 Cl 0.3632 0.5000 0.8522 1
Cl2 Cl 0.6368 0.5000 0.1478 1
```

***

[9]
K12Br3Cl5 | PBE | relaxed

## Properties
* M_tot: 0.0 μB/cell
* uncorrected formation energy: -1.32 eV/atom
* calculated total energy: -0.198 Ry/atom

```
data_K12Br3Cl5
_chemical_formula_sum 'K48 Br12 Cl20'
_space_group_name_H-M_alt 'P 1'
_space_group_IT_number 1
_cell_length_a 16.9818
_cell_length_b 16.9818
_cell_length_c 16.9818
_cell_angle_alpha 109.47
_cell_angle_beta 109.47
_cell_angle_gamma 109.47
loop_
_space_group_symop_operation_xyz
'x,y,z'
loop_
_atom_site_label
_atom_site_type_symbol
_atom_site_fract_x
_atom_site_fract_y
_atom_site_fract_z
_atom_site_occupancy
K1 K 0.0367 0.2128 0.1282 1
K2 K 0.0367 0.3239 0.9085 1
K3 K 0.0846 0.7128 0.6761 1
K4 K 0.0846 0.8718 0.4085 1
K5 K 0.0915 0.6282 0.4154 1
K6 K 0.0915 0.9633 0.6761 1
K7 K 0.1282 0.0367 0.2128 1
K8 K 0.1282 0.5915 0.9154 1
K9 K 0.1761 0.2128 0.5846 1
K10 K 0.1761 0.4633 0.5915 1
K11 K 0.2128 0.1282 0.0367 1
K12 K 0.2128 0.5846 0.1761 1
K13 K 0.2872 0.3239 0.9154 1
K14 K 0.2872 0.4633 0.3718 1
K15 K 0.3239 0.9085 0.0367 1
K16 K 0.3239 0.9154 0.2872 1
K17 K 0.3718 0.2872 0.4633 1
K18 K 0.3718 0.5846 0.9085 1
K19 K 0.4085 0.0846 0.8718 1
K20 K 0.4085 0.8239 0.5367 1
K21 K 0.4154 0.0915 0.6282 1
K22 K 0.4154 0.8239 0.7872 1
K23 K 0.4633 0.3718 0.2872 1
K24 K 0.4633 0.5915 0.1761 1
K25 K 0.5367 0.4085 0.8239 1
K26 K 0.5367 0.6282 0.7128 1
K27 K 0.5846 0.1761 0.2128 1
K28 K 0.5846 0.9085 0.3718 1
K29 K 0.5915 0.1761 0.4633 1
K30 K 0.5915 0.9154 0.1282 1
K31 K 0.6282 0.4154 0.0915 1
K32 K 0.6282 0.7128 0.5367 1
K33 K 0.6761 0.0846 0.7128 1
K34 K 0.6761 0.0915 0.9633 1
K35 K 0.7128 0.5367 0.6282 1
K36 K 0.7128 0.6761 0.0846 1
K37 K 0.7872 0.4154 0.8239 1
K38 K 0.7872 0.8718 0.9633 1
K39 K 0.8239 0.5367 0.4085 1
K40 K 0.8239 0.7872 0.4154 1
K41 K 0.8718 0.4085 0.0846 1
K42 K 0.8718 0.9633 0.7872 1
K43 K 0.9085 0.0367 0.3239 1
K44 K 0.9085 0.3718 0.5846 1
K45 K 0.9154 0.1282 0.5915 1
K46 K 0.9154 0.2872 0.3239 1
K47 K 0.9633 0.6761 0.0915 1
K48 K 0.9633 0.7872 0.8718 1
Br1 Br 0.1250 0.2500 0.3750 1
Br2 Br 0.1250 0.3750 0.7500 1
Br3 Br 0.2500 0.3750 0.1250 1
Br4 Br 0.2500 0.8750 0.6250 1
Br5 Br 0.3750 0.1250 0.2500 1
Br6 Br 0.3750 0.7500 0.1250 1
Br7 Br 0.6250 0.2500 0.8750 1
Br8 Br 0.6250 0.8750 0.7500 1
Br9 Br 0.7500 0.1250 0.3750 1
Br10 Br 0.7500 0.6250 0.8750 1
Br11 Br 0.8750 0.6250 0.2500 1
Br12 Br 0.8750 0.7500 0.6250 1
Cl1 Cl 0.0000 0.0000 0.0000 1
Cl2 Cl 0.0000 0.0000 0.5000 1
Cl3 Cl 0.0000 0.5000 0.0000 1
Cl4 Cl 0.0000 0.5000 0.5000 1
Cl5 Cl 0.1250 0.7500 0.8750 1
Cl6 Cl 0.1250 0.8750 0.2500 1
Cl7 Cl 0.2500 0.1250 0.8750 1
Cl8 Cl 0.2500 0.6250 0.3750 1
Cl9 Cl 0.3750 0.2500 0.6250 1
Cl10 Cl 0.3750 0.6250 0.7500 1
Cl11 Cl 0.5000 0.0000 0.0000 1
Cl12 Cl 0.5000 0.0000 0.5000 1
Cl13 Cl 0.5000 0.5000 0.0000 1
Cl14 Cl 0.5000 0.5000 0.5000 1
Cl15 Cl 0.6250 0.3750 0.2500 1
Cl16 Cl 0.6250 0.7500 0.3750 1
Cl17 Cl 0.7500 0.3750 0.6250 1
Cl18 Cl 0.7500 0.8750 0.1250 1
Cl19 Cl 0.8750 0.1250 0.7500 1
Cl20 Cl 0.8750 0.2500 0.1250 1
```

***

[10]
KBr2Cl | PBE | relaxed

## Properties
* M_tot: 0.0 μB/cell
* uncorrected formation energy: -0.65 eV/atom
* calculated total energy: -0.163 Ry/atom

```
data_KBr2Cl
_chemical_formula_sum 'K1 Br2 Cl1'
_space_group_name_H-M_alt 'P 1'
_space_group_IT_number 1
_cell_length_a 4.8921
_cell_length_b 4.8921
_cell_length_c 6.3066
_cell_angle_alpha 90.00
_cell_angle_beta 90.00
_cell_angle_gamma 90.00
loop_
_space_group_symop_operation_xyz
'x,y,z'
loop_
_atom_site_label
_atom_site_type_symbol
_atom_site_fract_x
_atom_site_fract_y
_atom_site_fract_z
_atom_site_occupancy
K1 K 0.0000 0.0000 0.0000 1
Br1 Br 0.0000 0.0000 0.5035 1
Br2 Br 0.5000 0.5000 0.1991 1
Cl1 Cl 0.5000 0.5000 0.8409 1
```

***

[11]
K3Br2Cl8 | PBE | relaxed

## Properties
* M_tot: 1.5 μB/cell
* uncorrected formation energy: -0.62 eV/atom
* calculated total energy: -0.166 Ry/atom

```
data_K3Br2Cl8
_chemical_formula_sum 'K3 Br2 Cl8'
_space_group_name_H-M_alt 'P 1'
_space_group_IT_number 1
_cell_length_a 10.7559
_cell_length_b 10.7559
_cell_length_c 10.7559
_cell_angle_alpha 38.04
_cell_angle_beta 38.04
_cell_angle_gamma 38.04
loop_
_space_group_symop_operation_xyz
'x,y,z'
loop_
_atom_site_label
_atom_site_type_symbol
_atom_site_fract_x
_atom_site_fract_y
_atom_site_fract_z
_atom_site_occupancy
K1 K 0.0000 0.0000 0.0000 1
K2 K 0.1993 0.1993 0.1993 1
K3 K 0.8007 0.8007 0.8007 1
Br1 Br 0.3848 0.3848 0.3848 1
Br2 Br 0.6152 0.6152 0.6152 1
Cl1 Cl 0.1915 0.7467 0.7467 1
Cl2 Cl 0.2533 0.2533 0.8085 1
Cl3 Cl 0.2533 0.8085 0.2533 1
Cl4 Cl 0.3062 0.3062 0.3062 1
Cl5 Cl 0.6938 0.6938 0.6938 1
Cl6 Cl 0.7467 0.1915 0.7467 1
Cl7 Cl 0.7467 0.7467 0.1915 1
Cl8 Cl 0.8085 0.2533 0.2533 1
```

***

[12]
KBrCl | PBE | relaxed

## Properties
* M_tot: 4.1 μB/cell
* uncorrected formation energy: -0.91 eV/atom
* calculated total energy: -0.180 Ry/atom

```
data_KBrCl
_chemical_formula_sum 'K4 Br4 Cl4'
_space_group_name_H-M_alt 'P 1'
_space_group_IT_number 1
_cell_length_a 7.5932
_cell_length_b 7.5932
_cell_length_c 7.5932
_cell_angle_alpha 90.00
_cell_angle_beta 90.00
_cell_angle_gamma 90.00
loop_
_space_group_symop_operation_xyz
'x,y,z'
loop_
_atom_site_label
_atom_site_type_symbol
_atom_site_fract_x
_atom_site_fract_y
_atom_site_fract_z
_atom_site_occupancy
K1 K 0.0000 0.0000 0.0000 1
K2 K 0.0000 0.5000 0.5000 1
K3 K 0.5000 0.0000 0.5000 1
K4 K 0.5000 0.5000 0.0000 1
Br1 Br 0.0000 0.0000 0.5000 1
Br2 Br 0.0000 0.5000 0.0000 1
Br3 Br 0.5000 0.0000 0.0000 1
Br4 Br 0.5000 0.5000 0.5000 1
Cl1 Cl 0.2500 0.2500 0.2500 1
Cl2 Cl 0.2500 0.7500 0.7500 1
Cl3 Cl 0.7500 0.2500 0.7500 1
Cl4 Cl 0.7500 0.7500 0.2500 1
```